Entry 1:
A plane-wave DFT calculation with GGA-PBE was carried out for a relaxed structure of InGa6Ag.

abc: 3.209 5.866 8.486
angles: 90.00 90.00 90.00
Space group Pmm2 (No. 25)
Symmetry-distinct sites (fractional):
1 In 0.000 0.000 0.000 [1 per cell]
2 Ga 0.000 0.260 0.487 [2 per cell]
3 Ga 0.000 0.500 0.985 [1 per cell]
4 Ga 0.500 0.000 0.289 [1 per cell]
5 Ga 0.500 0.258 0.749 [2 per cell]
6 Ag 0.500 0.500 0.255 [1 per cell]

Calculated values
ΔH_f (0 K)   0.04 eV per atom
DOS(E_F)   3.35 states/eV per cell



Entry 2:
A plane-wave DFT calculation with GGA-PBE was carried out for a relaxed structure of SrInCoAs2.

abc: 5.668 5.668 5.371
angles: 90.00 90.00 90.00
Space group P4/mmm (No. 123)
Symmetry-distinct sites (fractional):
1 Sr 0.000 0.000 0.000 [1 per cell]
2 In 0.500 0.500 0.500 [1 per cell]
3 Co 0.000 0.000 0.500 [1 per cell]
4 As 0.000 0.500 0.000 [2 per cell]

Calculated values
ΔH_f (0 K)   1.18 eV per atom
DOS(E_F)   8.04 states/eV per cell



Entry 3:
A plane-wave DFT calculation with GGA-PBE was carried out for a relaxed structure of Li2YAg.

abc: 4.492 4.533 8.216
angles: 90.00 90.00 90.00
Space group Imm2 (No. 44)
Symmetry-distinct sites (fractional):
1 Li 0.000 0.000 0.000 [2 per cell]
2 Li 0.000 0.500 0.251 [2 per cell]
3 Y 0.000 0.500 0.751 [2 per cell]
4 Ag 0.000 0.000 0.502 [2 per cell]

Calculated values
Distance to the lowest polymorph of the same formula   38 meV per atom
ΔH_f (0 K)   -0.06 eV per atom
DOS(E_F)   5.74 states/eV per cell



Entry 4:
A plane-wave DFT calculation with GGA-PBE was carried out for a relaxed structure of Ni2GePb.

abc: 4.375 4.375 15.748
angles: 90.00 90.00 90.00
Space group I-42d (No. 122)
Symmetry-distinct sites (fractional):
1 Ni 0.142 0.250 0.125 [8 per cell]
2 Ge 0.000 0.000 0.000 [4 per cell]
3 Pb 0.000 0.000 0.500 [4 per cell]

Calculated values
Distance to the lowest polymorph of the same formula   3 meV per atom
ΔH_f (0 K)   0.23 eV per atom
DOS(E_F)   15.53 states/eV per cell



Entry 5:
A plane-wave DFT calculation with GGA-PBE was carried out for a relaxed structure of AcCeSbO6.

abc: 5.8731 5.8731 9.2487
angles: 90.00 90.00 120.00
Space group P-31c (No. 163)
Symmetry-distinct sites (fractional):
1 Ac 0.3333 0.6667 0.2500 [2 per cell]
2 Ce 0.0000 0.0000 0.0000 [2 per cell]
3 Sb 0.3333 0.6667 0.7500 [2 per cell]
4 O 0.0642 0.3642 0.6271 [12 per cell]

Calculated values
Raw formation energy   -2.53 eV per atom



Entry 6:
A plane-wave DFT calculation with GGA-PBE was carried out for a relaxed structure of RbCd2Bi3.

abc: 4.935 4.935 33.899
angles: 90.00 90.00 90.00
Space group I4/mmm (No. 139)
Symmetry-distinct sites (fractional):
1 Rb 0.000 0.000 0.151 [4 per cell]
2 Cd 0.000 0.000 0.393 [4 per cell]
3 Cd 0.000 0.500 0.250 [4 per cell]
4 Bi 0.000 0.000 0.303 [4 per cell]
5 Bi 0.000 0.500 0.051 [8 per cell]

Calculated values
Distance to the lowest polymorph of the same formula   0 meV per atom
ΔH_f (0 K)   -0.11 eV per atom
DOS(E_F)   11.00 states/eV per cell



Number 1: energy -2.932 eV per atom. Number 2: energy -2.983 eV per atom. Number 3: energy -3.343 eV per atom. Number 4: energy -4.744 eV per atom. Number 5: energy -7.412 eV per atom. Number 6: energy -2.519 eV per atom.